# 1
Compound: TePb6Se2S3
Source: the Alexandria database
Functional: PBE
Structure: relaxed

POSCAR file:
```
TePb6Se2S3
1.0
4.357 0.000 0.000
0.000 8.716 0.310
-2.179 -2.515 9.162
Te Pb S Se
1 6 3 2
Direct
0.500 0.000 0.000
0.334 0.412 0.668
0.666 0.588 0.332
0.997 0.267 0.994
0.327 0.919 0.654
0.003 0.733 0.006
0.673 0.081 0.346
0.500 0.500 0.000
0.835 0.171 0.670
0.165 0.829 0.330
0.832 0.668 0.664
0.168 0.332 0.336
```

Results
Size of the total moment: 0.0 μB per cell
Formation energy without anion corrections: -0.51 eV/atom

=====

# 2
Compound: Hf4ZrTl
Source: the Alexandria database
Functional: PBE
Structure: relaxed

POSCAR file:
```
Hf4ZrTl
1.0
3.081 0.212 0.001
-0.355 5.158 0.001
-0.001 -0.001 8.754
Hf Zr Tl
4 1 1
Direct
0.497 0.001 0.190
0.997 0.501 0.319
0.497 0.001 0.814
0.997 0.501 0.685
0.997 0.001 0.502
0.497 0.501 0.002
```

Results
Size of the total moment: 0.0 μB per cell

=====

# 3
Compound: CrBr
Source: the Alexandria database
Functional: PBE
Structure: relaxed

POSCAR file:
```
CrBr
1.0
-6.252 -5.021 -7.737
2.558 -2.539 -0.419
-3.248 -4.150 5.318
Cr Br
6 6
Direct
0.000 0.543 0.426
0.622 0.965 0.094
0.878 0.035 0.594
0.378 0.965 0.094
0.122 0.035 0.594
0.500 0.457 0.926
0.173 0.022 0.263
0.327 0.978 0.763
0.673 0.978 0.763
0.827 0.022 0.263
0.500 0.944 0.364
0.000 0.056 0.864
```

Results
Size of the total moment: 6.0 μB per cell
Formation energy without anion corrections: -0.09 eV/atom

=====

# 4
Compound: Lu2ThPa
Source: the Alexandria database
Functional: PBE
Structure: relaxed

POSCAR file:
```
Lu2ThPa
1.0
-2.434 -2.340 -0.383
0.993 -0.508 -3.210
6.320 -7.076 3.075
Lu Pa Th
2 1 1
Direct
0.000 0.000 0.765
0.000 0.000 0.235
0.500 0.500 0.000
0.500 0.500 0.500
```

Results
Size of the total moment: 0.3 μB per cell

=====

# 5
Compound: PrMgIr2
Source: the Alexandria database
Functional: PBE
Structure: relaxed

POSCAR file:
```
PrMgIr2
1.0
3.036 0.000 0.000
1.518 2.629 0.000
1.518 0.876 9.250
Pr Ir Mg
1 2 1
Direct
0.500 0.500 0.500
0.742 0.742 0.773
0.258 0.258 0.227
0.000 0.000 0.000
```

Results
Size of the total moment: 0.0 μB per cell

=====

# 6
Compound: La2BPd6
Source: the Alexandria database
Functional: PBE
Structure: relaxed

POSCAR file:
```
La2BPd6
1.0
5.368 -0.028 -0.016
0.032 5.913 0.006
0.032 2.951 5.124
Pd La B
6 2 1
Direct
0.261 0.326 0.837
0.739 0.674 0.163
0.739 0.163 0.163
0.261 0.837 0.837
0.261 0.837 0.326
0.739 0.163 0.674
0.766 0.667 0.667
0.234 0.333 0.333
0.000 0.000 0.000
```

Results
Size of the total moment: 0.0 μB per cell

=====

# 7
Compound: Li2CoIr
Source: the Alexandria database
Functional: PBE
Structure: relaxed

POSCAR file:
```
Li2CoIr
1.0
-1.667 4.499 -1.607
-3.274 2.636 2.816
4.555 -2.134 -0.541
Li Co Ir
2 1 1
Direct
0.508 0.508 0.000
0.992 0.992 0.000
0.750 0.250 0.500
0.250 0.750 0.500
```

Results
Size of the total moment: 1.4 μB per cell

=====

# 8
Compound: AlPW4
Source: the Alexandria database
Functional: PBE
Structure: relaxed

POSCAR file:
```
AlPW4
1.0
3.391 1.400 3.790
1.153 5.091 0.759
-1.744 2.485 4.314
W P Al
4 1 1
Direct
0.874 0.375 0.375
0.375 0.874 0.375
0.375 0.375 0.375
0.375 0.375 0.874
0.000 0.000 0.000
0.750 0.750 0.750
```

Results
Size of the total moment: 0.0 μB per cell

=====

# 9
Compound: Na2Sr2Nb4O13
Source: the Alexandria database
Functional: PBE
Structure: relaxed

POSCAR file:
```
Na2Sr2Nb4O13
1.0
-3.772 3.781 5.385
3.772 -3.781 5.385
3.772 3.781 -5.385
Sr O Nb Na
2 13 4 2
Direct
0.249 0.009 0.240
0.770 0.009 0.760
0.068 0.568 0.500
0.687 0.187 0.500
0.820 0.820 0.000
0.817 0.438 0.998
0.122 0.122 0.000
0.440 0.819 0.002
0.074 0.184 0.498
0.450 0.450 0.000
0.817 0.819 0.379
0.686 0.576 0.502
0.074 0.576 0.890
0.686 0.184 0.110
0.440 0.438 0.621
0.233 0.490 0.743
0.741 0.984 0.242
0.746 0.490 0.257
0.741 0.499 0.758
0.232 0.993 0.761
0.232 0.471 0.239
```

Results
Size of the total moment: 0.1 μB per cell
Formation energy without anion corrections: -2.55 eV/atom

=====

# 10
Compound: Li3HgF
Source: the Alexandria database
Functional: PBE
Structure: relaxed

POSCAR file:
```
Li3HgF
1.0
5.069 0.000 0.000
0.000 5.069 0.000
0.000 0.000 5.069
Li Hg F
3 1 1
Direct
0.000 0.000 0.500
0.500 0.000 0.000
0.000 0.500 0.000
0.000 0.000 0.000
0.500 0.500 0.500
```

Results
Size of the total moment: 0.0 μB per cell
Formation energy without anion corrections: -0.30 eV/atom

=====

# 11
Compound: TiGaGe
Source: the Alexandria database
Functional: PBE
Structure: relaxed

POSCAR file:
```
TiGaGe
1.0
6.943 0.000 0.000
-3.471 6.013 0.000
0.000 0.000 7.385
Ge Ti Ga
6 6 6
Direct
0.000 0.000 0.250
0.333 0.667 0.998
0.667 0.333 0.002
0.000 0.000 0.750
0.333 0.667 0.502
0.667 0.333 0.498
0.271 0.000 0.500
0.000 0.271 0.000
0.729 0.729 0.500
0.729 0.729 0.000
0.271 0.000 0.000
0.000 0.271 0.500
0.395 0.397 0.250
0.605 0.002 0.750
0.397 0.395 0.750
0.002 0.605 0.250
0.998 0.603 0.750
0.603 0.998 0.250
```

Results
Size of the total moment: 0.0 μB per cell

=====

# 12
Compound: Co2Mo
Source: the Alexandria database
Functional: PBE
Structure: relaxed

POSCAR file:
```
Co2Mo
1.0
2.634 0.000 0.000
-1.317 2.281 0.000
0.000 0.000 6.333
Co Mo
2 1
Direct
0.000 0.000 0.986
0.333 0.667 0.681
0.667 0.333 0.333
```

Results
Size of the total moment: 2.2 μB per cell

=====

In Ry/atom, the final energy values for the records above are, in order, -0.312, -0.605, -0.422, -0.467, -0.437, -0.442, -0.369, -0.692, -0.575, -0.139, -0.393, -0.596.